[1]
Ta2Ru | Alexandria via LeMat-Bulk | SCAN | PBEsol geometry; electronic total energy = -168.84 eV/f.u.; volume = 195 Å³/cell; symmetry = Pnma, No. 62; crystal system = orthorhombic
1.0
5.381 0.000 0.000
0.000 4.428 0.000
0.000 0.000 8.166
Ta Ru
8 4
Direct
0.017 0.250 0.241
0.169 0.250 0.587
0.331 0.750 0.087
0.483 0.750 0.741
0.517 0.250 0.259
0.669 0.250 0.913
0.831 0.750 0.413
0.983 0.750 0.759
0.177 0.250 0.930
0.323 0.750 0.430
0.677 0.250 0.570
0.823 0.750 0.070



[2]
LaMg2 | Alexandria via LeMat-Bulk | SCAN | PBEsol geometry; electronic total energy = -53.31 eV/f.u.; volume = 253 Å³/cell; symmetry = P-62m, No. 189; crystal system = hexagonal
1.0
7.603 0.000 0.000
-3.801 6.584 0.000
0.000 0.000 5.061
La Mg
3 6
Direct
0.000 0.568 0.000
0.432 0.432 0.000
0.568 0.000 0.000
0.000 0.000 0.000
0.000 0.233 0.500
0.233 0.000 0.500
0.333 0.667 0.500
0.667 0.333 0.500
0.767 0.767 0.500



[3]
Y2MgZn | Alexandria via LeMat-Bulk | SCAN | PBEsol geometry; E above lowest polymorph = 81 meV/atom; electronic total energy = -74.83 eV/f.u.; volume = 98 Å³/cell; symmetry = Pm, No. 6; crystal system = monoclinic
1.0
3.478 0.000 0.000
0.000 4.720 0.000
-1.714 0.000 5.952
Y Mg Zn
2 1 1
Direct
0.000 0.000 0.000
0.326 0.500 0.654
0.723 0.000 0.448
0.592 0.500 0.184



[4]
NaSc2TaMn | Alexandria via LeMat-Bulk | SCAN | PBEsol geometry; electronic total energy = -111.73 eV/f.u.; volume = 133 Å³/cell; symmetry = P4/mmm, No. 123; crystal system = tetragonal
1.0
4.973 0.000 0.000
0.000 4.973 0.000
0.000 0.000 5.393
Na Sc Ta Mn
1 2 1 1
Direct
0.000 0.000 0.000
0.000 0.500 0.500
0.500 0.000 0.500
0.000 0.000 0.500
0.500 0.500 0.000